1.
The following is a GGA-PBE calculation of a relaxed Ba2TcOs3O12 crystal, from Alexandria.

Geometry as extended XYZ:
```
18
Lattice="-6.747 -1.632 2.003 -2.254 -6.864 0.026 -1.242 -3.424 6.239" Properties=species:S:1:pos:R:3 pbc="T T T"
O -8.161 -6.911 7.682
O -4.821 -1.818 1.792
O -4.698 -8.005 2.719
O -5.544 -3.914 5.549
O -7.387 -4.875 3.902
O -6.150 -5.973 1.831
O -1.464 -2.911 4.375
O -2.856 -7.045 4.366
O -4.093 -5.947 6.437
O -2.081 -5.008 0.586
O -8.779 -9.009 3.892
O -5.421 -10.102 6.476
Tc 0.000 0.000 0.000
Os -0.621 -1.712 3.120
Os -1.127 -3.432 0.013
Os -3.373 -0.816 1.001
Ba -3.881 -4.516 3.133
Ba -6.362 -7.403 5.135
```

Output
Energy   -7.4353 eV per atom
Formation energy without anion corrections   -1.469 eV/atom
N(E_F)   0.56 states/eV/atom

---

2.
The following is a GGA-PBE calculation of a relaxed Pr2TmNpN4 crystal, from Alexandria.

Geometry as extended XYZ:
```
8
Lattice="-2.710 -1.139 1.960 3.779 -1.099 4.587 -2.075 5.798 0.501" Properties=species:S:1:pos:R:3 pbc="T T T"
Np 0.000 0.000 0.000
N 2.410 0.410 3.570
N -0.922 0.423 2.155
N -0.705 4.289 1.517
N -0.083 3.137 4.892
Pr 0.852 2.350 2.544
Pr -2.392 2.330 1.230
Tm 0.535 -1.119 3.273
```

Output
Energy   -8.9259 eV per atom
Formation energy without anion corrections   -1.392 eV/atom
N(E_F)   0.69 states/eV/atom

---

3.
The following is a GGA-PBE calculation of a relaxed Mg2Tl3Pb2 crystal, from Alexandria.

Geometry as extended XYZ:
```
7
Lattice="3.515 0.000 -0.424 0.000 3.516 0.000 0.152 0.000 16.039" Properties=species:S:1:pos:R:3 pbc="T T T"
Mg 0.538 0.000 4.456
Mg 3.129 0.000 11.159
Pb 1.128 1.758 9.347
Pb 2.539 1.758 6.268
Tl 2.056 1.758 2.258
Tl 0.000 0.000 0.000
Tl 1.612 1.758 13.357
```

Output
Energy   -2.5457 eV per atom
DFT formation energy   -0.12 eV per formula unit
Energy above the most stable polymorph in this dataset   0.000 eV per atom
N(E_F)   0.40 states/eV/atom

---

4.
The following is a GGA-PBE calculation of a relaxed Ti2BiIr2 crystal, from Alexandria.

Geometry as extended XYZ:
```
5
Lattice="4.240 0.000 0.000 0.000 4.240 0.000 2.120 2.120 5.409" Properties=species:S:1:pos:R:3 pbc="T T T"
Ti 2.120 4.240 2.704
Ti 4.240 2.120 2.704
Bi 0.000 0.000 0.000
Ir 4.240 4.240 4.082
Ir 2.120 2.120 1.327
```

Output
Energy   -7.9754 eV per atom
DFT formation energy   -2.48 eV per formula unit
Energy above the most stable polymorph in this dataset   0.018 eV per atom
N(E_F)   0.67 states/eV/atom

---

5.
The following is a GGA-PBE calculation of a relaxed Tm4Te2Pd crystal, from Alexandria.

Geometry as extended XYZ:
```
14
Lattice="-3.639 -0.775 1.988 1.884 -7.573 0.498 5.429 2.057 10.741" Properties=species:S:1:pos:R:3 pbc="T T T"
Tm 4.090 0.365 7.630
Tm 3.858 -0.685 11.272
Tm 3.224 -5.881 3.610
Tm 5.535 -3.231 8.874
Tm 1.779 -2.285 2.366
Tm 2.702 -5.267 7.371
Tm 0.972 -1.024 5.856
Tm -0.184 -5.606 1.955
Te 1.065 -4.010 4.864
Te 4.462 -5.722 10.415
Te -0.788 -0.568 2.812
Te 2.609 -2.281 8.363
Pd 0.942 -3.787 0.249
Pd 2.714 1.029 5.371
```

Output
Energy   -5.0978 eV per atom
Formation energy without anion corrections   -0.903 eV/atom
N(E_F)   0.64 states/eV/atom

---

6.
The following is a GGA-PBE calculation of a relaxed CdHgGe2P crystal, from Alexandria.

Geometry as extended XYZ:
```
5
Lattice="5.295 0.000 0.000 0.000 4.962 0.000 0.000 0.000 5.295" Properties=species:S:1:pos:R:3 pbc="T T T"
P 0.000 2.481 0.000
Cd 2.648 2.481 2.648
Ge 2.648 0.000 0.000
Ge 0.000 0.000 2.648
Hg 0.000 0.000 0.000
```

Output
Energy   -2.2218 eV per atom
DFT formation energy   4.75 eV per formula unit
N(E_F)   0.47 states/eV/atom

---

7.
The following is a GGA-PBE calculation of a relaxed Pm2TlOsC crystal, from Alexandria.

Geometry as extended XYZ:
```
5
Lattice="-0.206 -3.492 1.833 4.889 -1.108 -1.562 1.895 2.187 4.381" Properties=species:S:1:pos:R:3 pbc="T T T"
Pm 2.445 -0.554 -0.781
Pm 0.948 1.094 2.191
Tl 3.289 -1.207 2.326
C 0.000 0.000 0.000
Os -0.103 -1.746 0.916
```

Output
Energy   -6.7391 eV per atom
DFT formation energy   -1.37 eV per formula unit
N(E_F)   0.42 states/eV/atom

---

8.
The following is a GGA-PBE calculation of a relaxed AcPr15Tm4 crystal, from Alexandria.

Geometry as extended XYZ:
```
20
Lattice="-1.291 5.025 0.513 -5.026 -1.330 0.377 2.467 -2.002 25.804" Properties=species:S:1:pos:R:3 pbc="T T T"
Tm 0.991 -0.804 10.362
Tm 0.504 -0.409 5.273
Tm 1.963 -1.593 20.530
Tm 1.477 -1.198 15.442
Ac 0.000 0.000 0.000
Pr -2.651 1.436 5.751
Pr -1.682 0.649 15.888
Pr -0.307 -2.455 23.264
Pr -1.280 -1.666 13.091
Pr 1.074 1.117 18.242
Pr 0.588 1.511 13.158
Pr 0.102 1.906 8.075
Pr 1.561 0.722 23.332
Pr -1.766 -1.272 8.007
Pr -0.793 -2.060 18.174
Pr -0.385 2.301 2.985
Pr -2.168 1.043 10.807
Pr -3.159 1.847 0.445
Pr -2.252 -0.877 2.917
Pr -1.199 0.257 20.943
```

Output
Energy   -4.6683 eV per atom
DFT formation energy   0.32 eV per formula unit
N(E_F)   1.41 states/eV/atom

---

| no. | V (A^3/atom) |
| --- | --- |
| 1 | 14.66 |
| 2 | 15.63 |
| 3 | 28.35 |
| 4 | 19.45 |
| 5 | 28.77 |
| 6 | 27.83 |
| 7 | 21.78 |
| 8 | 35.33 |